Record 1
Pr2Ni2Ag3 after structural relaxation, computed with PBE-GGA.

a = 4.198 Å, b = 5.421 Å, c = 6.902 Å
α = 97.22°, β = 90.00°, γ = 112.78°
Atoms (fractional coordinates):
Pr  0.624  0.247  0.337
Pr  0.376  0.753  0.663
Ni  0.081  0.162  0.644
Ni  0.919  0.838  0.356
Ag  0.313  0.626  0.131
Ag  0.000  0.000  0.000
Ag  0.687  0.374  0.869

***

Record 2
Pr3Ni2Ag2 after structural relaxation, computed with PBE-GGA.

a = 3.962 Å, b = 5.927 Å, c = 8.117 Å
α = 108.95°, β = 90.00°, γ = 109.53°
Atoms (fractional coordinates):
Pr  0.312  0.623  0.326
Pr  0.688  0.377  0.674
Pr  0.500  0.000  0.000
Ni  0.806  0.613  0.064
Ni  0.194  0.387  0.936
Ag  0.966  0.932  0.663
Ag  0.034  0.068  0.337

***

| no. | total energy (eV per atom) | Fermi-level density of states (states/eV/cell) |
| --- | --- | --- |
| 1 | -4.482 | 3.575 |
| 2 | -4.807 | 5.619 |